Below is an optimized crystal structure of KAg4Au, with properties calculated at the PBE-GGA level.

a b c (Å): 5.659 5.659 5.659
angles (deg): 60.00 60.00 60.00
Sites, in units of the cell vectors:
Ag  0.376  0.873  0.376
Ag  0.873  0.376  0.376
Ag  0.376  0.376  0.873
Ag  0.376  0.376  0.376
K  0.000  0.000  0.000
Au  0.750  0.750  0.750

Calculated values
Size of the total moment in μB per atom: 0.000
Uncorrected energy in eV per cell: -15.6
Distance to the lowest polymorph of the same formula in eV per atom: 0.000
DOS(E_F) in states/eV per atom: 0.244
ΔH_f (0 K) in eV per atom: 0.03